{"formula": "Sc2TcNiW", "functional": "PBE", "state": "optimized geometry", "dos_ef_per_ev_cell": 6.017, "crystal_system": "tetragonal", "e_tot_ev_per_cell": -35.162, "lattice_angstrom": [[-1.6686, 3.0056, 3.6056], [3.1245, -1.5773, 2.7608], [3.1372, 3.5605, -1.5162]], "species": ["Sc", "W", "Ni", "Sc", "Tc"], "fractional_positions": [[0.5000, 0.0000, 0.0000], [0.0000, 0.0000, 0.0000], [0.0000, 0.5000, 0.0000], [0.0000, 0.0000, 0.5000], [0.5000, 0.5000, 0.5000]]}


{"formula": "Ac4Ni2Pd", "functional": "PBE", "state": "optimized geometry", "relative_energy_ev_per_atom": 0.000, "dos_ef_per_ev_cell": 12.148, "crystal_system": "orthorhombic", "lattice_angstrom": [[8.2333, -1.0531, -0.1630], [-1.6429, 8.1371, 0.1612], [-3.1723, -3.6585, 6.7457]], "species": ["Ni", "Ni", "Pd", "Ni", "Ac", "Ac", "Ac", "Ac", "Ac", "Ac", "Ac", "Ni", "Ac", "Pd"], "fractional_positions": [[0.1250, 0.3751, 0.7501], [0.6251, 0.8750, 0.2501], [0.0012, 0.0014, 0.0000], [0.6249, 0.3750, 0.7499], [0.3312, 0.1374, 0.8059], [0.3313, 0.5251, 0.1939], [0.8623, 0.6684, 0.1938], [0.3877, 0.0814, 0.3060], [0.9189, 0.2248, 0.3063], [0.4748, 0.6687, 0.8064], [0.9186, 0.6126, 0.6939], [0.6250, 0.3749, 0.2499], [0.7751, 0.0815, 0.6938], [0.2488, 0.7486, 0.5001]]}


{"formula": "Si2RuAu", "functional": "PBE", "state": "optimized geometry", "relative_energy_ev_per_atom": 0.284, "dos_ef_per_ev_cell": 2.755, "raw_formation_energy_kj_per_mol_fu": 32, "crystal_system": "trigonal", "lattice_angstrom": [[-5.0708, 5.5776, 2.3802], [-5.1470, 3.6820, 4.7370], [-2.9563, 5.7591, 4.5365]], "species": ["Si", "Ru", "Au", "Si"], "fractional_positions": [[0.2547, 0.2547, 0.2547], [0.7386, 0.7386, 0.7386], [0.5057, 0.5057, 0.5057], [0.0011, 0.0011, 0.0011]]}


{"formula": "ZnFeCo", "functional": "PBE", "state": "optimized geometry", "relative_energy_ev_per_atom": 0.000, "dos_ef_per_ev_cell": 2.562, "crystal_system": "tetragonal", "lattice_angstrom": [[4.7084, -0.0890, 0.0000], [2.9546, 3.6671, 0.0000], [-3.8315, -1.7890, 2.0727]], "species": ["Fe", "Zn", "Co"], "fractional_positions": [[0.3450, 0.3450, 0.0000], [0.6650, 0.6650, 0.0000], [0.9901, 0.9901, 0.0000]]}


{"formula": "Na2Sr3Ca2", "functional": "PBE", "state": "optimized geometry", "relative_energy_ev_per_atom": 0.000, "dos_ef_per_ev_cell": 5.632, "crystal_system": "orthorhombic", "lattice_angstrom": [[-4.2049, -4.7003, -0.0951], [1.8104, -1.5542, -3.2309], [8.8685, -3.8908, 9.3375]], "species": ["Na", "Sr", "Ca", "Ca", "Sr", "Sr", "Na"], "fractional_positions": [[0.4323, 0.4323, 0.8646], [0.0000, 0.0000, 0.0000], [0.8602, 0.3602, 0.7203], [0.1398, 0.6398, 0.2797], [0.7065, 0.2065, 0.4130], [0.2935, 0.7935, 0.5870], [0.5677, 0.5677, 0.1354]]}


{"formula": "Ac5InPb4", "functional": "PBE", "state": "optimized geometry", "dos_ef_per_ev_cell": 6.930, "crystal_system": "tetragonal", "e_tot_ev_per_cell": -42.839, "lattice_angstrom": [[3.8726, 0.0000, 0.0000], [0.0000, 3.8726, 0.0000], [0.0000, 0.0000, 23.5288]], "species": ["Ac", "Pb", "In", "Ac", "Ac", "Pb", "Ac", "Pb", "Ac", "Pb"], "fractional_positions": [[0.5000, 0.5000, 0.5000], [0.0000, 0.0000, 0.1988], [0.0000, 0.0000, 0.0000], [0.5000, 0.5000, 0.0976], [0.5000, 0.5000, 0.2988], [0.0000, 0.0000, 0.3995], [0.5000, 0.5000, 0.9024], [0.0000, 0.0000, 0.6005], [0.5000, 0.5000, 0.7012], [0.0000, 0.0000, 0.8012]]}


{"formula": "La2ErScSe6", "functional": "PBE", "state": "optimized geometry", "dos_ef_per_ev_cell": 0.000, "raw_formation_energy_kj_per_mol_fu": -1854, "crystal_system": "monoclinic", "lattice_angstrom": [[-1.5292, 5.1712, -4.3394], [-6.4347, -3.6185, -2.0446], [-5.1038, 4.8817, 7.4230]], "species": ["La", "Se", "Se", "Se", "La", "Er", "Se", "Er", "La", "Se", "La", "Se", "Se", "Sc", "Se", "Se", "Sc", "Se", "Se", "Se"], "fractional_positions": [[0.9593, 0.1029, 0.7479], [0.3201, 0.6809, 0.4350], [0.6356, 0.0399, 0.2436], [0.1356, 0.4601, 0.7436], [0.4593, 0.3971, 0.2479], [0.5000, 0.0000, 0.5000], [0.8307, 0.8105, 0.5654], [0.0000, 0.5000, 0.0000], [0.5407, 0.6029, 0.7521], [0.6693, 0.3105, 0.9346], [0.0407, 0.8971, 0.2521], [0.8201, 0.8191, 0.9350], [0.1693, 0.1895, 0.4346], [0.0000, 0.5000, 0.5000], [0.8644, 0.5399, 0.2564], [0.1799, 0.1809, 0.0650], [0.5000, 0.0000, 0.0000], [0.6799, 0.3191, 0.5650], [0.3644, 0.9601, 0.7564], [0.3307, 0.6895, 0.0654]]}


{"formula": "Ho5TmSc3", "functional": "PBE", "state": "optimized geometry", "dos_ef_per_ev_cell": 25.543, "crystal_system": "monoclinic", "e_tot_ev_per_cell": -83.979, "lattice_angstrom": [[-7.8135, 4.4292, 1.6487], [-6.2818, -4.2115, -5.1175], [-9.6470, -4.4523, 3.5019]], "species": ["Ho", "Tm", "Sc", "Ho", "Sc", "Sc", "Ho", "Sc", "Tm", "Ho", "Sc", "Ho", "Ho", "Sc", "Ho", "Ho", "Ho", "Ho"], "fractional_positions": [[0.6517, 0.1465, 0.7408], [0.1468, 0.1468, 0.5992], [0.3442, 0.3442, 0.6334], [0.5147, 0.5147, 0.7648], [0.6934, 0.6934, 0.8200], [0.6558, 0.6558, 0.3666], [0.8134, 0.8134, 0.9703], [0.0000, 0.0000, 0.0000], [0.8532, 0.8532, 0.4008], [0.4853, 0.4853, 0.2352], [0.0000, 0.0000, 0.5000], [0.2562, 0.7438, 0.0000], [0.3483, 0.8535, 0.2592], [0.3066, 0.3066, 0.1800], [0.8535, 0.3483, 0.2592], [0.1866, 0.1866, 0.0297], [0.7438, 0.2562, 0.0000], [0.1465, 0.6517, 0.7408]]}